VASP calculation (PBE) on TbPm3Cu2 after structural relaxation.

The space group is Ibam (No. 72) and the conventional cell measures 6.8935, 13.6815 and 7.3710 Å, with angles of 90.00, 90.00 and 90.00 degrees. The asymmetric unit holds Tb at (0.0000, 0.0000, 0.0000), Pm at (0.0000, 0.2328, 0.2500), Pm at (0.0000, 0.5000, 0.2500) and Cu at (0.2061, 0.3599, 0.0000).

The energy above the lowest structure with this stoichiometry is 177.4 meV/atom. The calculation puts the calculated formation energy at 60 meV/atom. The magnetic moment is 0.0 μB/f.u.